Version one
Material: Ce3Ge2Ru
Method: DFT, GGA-PBE
State: relaxed

* DOS at the Fermi energy: 5.78 states/eV per cell
* size of the total moment: 0.0 μB per formula unit

a = 7.197 Å, b = 7.182 Å, c = 7.216 Å
α = 80.41°, β = 70.57°, γ = 59.93°
Fractional positions:
Ce 0.272 0.000 0.230
Ce 0.078 0.348 0.764
Ce 0.728 0.000 0.770
Ce 0.922 0.652 0.236
Ce 0.426 0.652 0.764
Ce 0.574 0.348 0.236
Ru 0.668 0.664 0.000
Ru 0.332 0.336 0.000
Ge 0.841 0.319 0.500
Ge 0.500 0.000 0.500
Ge 0.159 0.681 0.500
Ge 0.000 0.000 0.000

---

Version two
Material: Ce3Ge2Ru
Method: DFT, GGA-PBE
State: relaxed

* DOS at the Fermi energy: 45.83 states/eV per cell
* size of the total moment: 1.6 μB per formula unit

a = 4.419 Å, b = 10.428 Å, c = 12.121 Å
α = 90.00°, β = 90.00°, γ = 90.00°
Each line ends with the local moment (μB).
Fractional positions:
Ge 0.250 0.705 0.498  -0.02
Ge 0.750 0.295 0.502  -0.02
Ge 0.250 0.012 0.296  -0.02
Ge 0.750 0.512 0.204  -0.02
Ge 0.750 0.988 0.704  -0.02
Ge 0.250 0.795 0.998  -0.02
Ge 0.750 0.205 0.002  -0.02
Ge 0.250 0.488 0.796  -0.02
Ce 0.750 0.600 0.952  0.50
Ce 0.250 0.056 0.877  0.45
Ce 0.750 0.556 0.623  0.45
Ce 0.250 0.444 0.377  0.45
Ce 0.750 0.217 0.259  0.48
Ce 0.750 0.944 0.123  0.45
Ce 0.250 0.400 0.048  0.50
Ce 0.250 0.717 0.241  0.48
Ce 0.250 0.100 0.548  0.50
Ce 0.250 0.783 0.741  0.48
Ce 0.750 0.283 0.759  0.48
Ce 0.750 0.900 0.452  0.50
Ru 0.250 0.150 0.111  -0.09
Ru 0.750 0.850 0.889  -0.09
Ru 0.250 0.350 0.611  -0.09
Ru 0.750 0.650 0.389  -0.09

---

Stability check: which of them is least stable? version one.

---

Version one
Material: Ce2Ge4Ru3
Method: DFT, GGA-PBE
State: relaxed

* DOS at the Fermi energy: 17.93 states/eV per cell
* size of the total moment: 0.0 μB per formula unit

a = 5.917 Å, b = 7.382 Å, c = 7.966 Å
α = 90.00°, β = 111.80°, γ = 90.00°
Fractional positions:
Ce 0.887 0.410 0.774
Ce 0.113 0.590 0.226
Ce 0.613 0.910 0.226
Ce 0.387 0.090 0.774
Ge 0.680 0.521 0.361
Ge 0.807 0.250 0.114
Ge 0.693 0.750 0.886
Ge 0.820 0.021 0.639
Ge 0.180 0.979 0.361
Ge 0.307 0.250 0.114
Ge 0.193 0.750 0.886
Ge 0.320 0.479 0.639
Ru 0.021 0.750 0.542
Ru 0.000 0.000 0.000
Ru 0.479 0.250 0.458
Ru 0.521 0.750 0.542
Ru 0.500 0.500 0.000
Ru 0.979 0.250 0.458

---

Version two
Material: Ce2Ge4Ru3
Method: DFT, GGA-PBE
State: relaxed

* DOS at the Fermi energy: 10.42 states/eV per cell
* size of the total moment: 0.4 μB per formula unit

a = 5.649 Å, b = 5.649 Å, c = 6.728 Å
α = 101.86°, β = 101.86°, γ = 120.70°
Each line ends with the local moment (μB).
Fractional positions:
Ge 0.328 0.988 0.317  0.00
Ge 0.012 0.672 0.683  0.00
Ge 0.988 0.328 0.317  0.00
Ge 0.672 0.012 0.683  0.00
Ru 0.000 0.000 0.000  -0.03
Ru 0.000 0.500 0.000  -0.03
Ru 0.500 0.000 0.000  -0.03
Ce 0.375 0.375 0.749  0.20
Ce 0.625 0.625 0.251  0.20

---

Stability check: which of them is least stable? version two.

---

Version one
Material: CeGeS3
Method: DFT, GGA-PBE
State: relaxed

* DOS at the Fermi energy: 32.21 states/eV per cell
* size of the total moment: 1.0 μB per formula unit

a = 6.767 Å, b = 7.598 Å, c = 9.211 Å
α = 90.00°, β = 92.63°, γ = 90.00°
Each line ends with the local moment (μB).
Fractional positions:
S 0.642 0.824 0.072  -0.01
S 0.858 0.324 0.428  -0.01
S 0.850 0.311 0.058  -0.01
S 0.649 0.525 0.720  -0.01
S 0.150 0.689 0.942  -0.01
S 0.351 0.475 0.280  -0.01
S 0.851 0.025 0.780  -0.01
S 0.358 0.176 0.928  -0.01
S 0.142 0.676 0.572  -0.01
S 0.650 0.811 0.442  -0.01
S 0.149 0.975 0.220  -0.01
S 0.350 0.189 0.558  -0.01
Ge 0.081 0.105 0.427  0.00
Ge 0.419 0.605 0.073  0.00
Ge 0.919 0.895 0.573  0.00
Ge 0.581 0.395 0.927  0.00
Ce 0.537 0.126 0.255  0.97
Ce 0.037 0.374 0.755  0.97
Ce 0.463 0.874 0.745  0.97
Ce 0.963 0.626 0.245  0.97

---

Version two
Material: CeGeS3
Method: DFT, GGA-PBE
State: relaxed

* size of the total moment: 0.2 μB per formula unit

a = 3.989 Å, b = 7.209 Å, c = 9.253 Å
α = 81.75°, β = 90.00°, γ = 90.00°
Each line ends with the local moment (μB).
Fractional positions:
Ce 0.750 0.289 0.405  0.20
Ce 0.250 0.711 0.595  0.20
Ge 0.250 0.126 0.094  0.00
Ge 0.750 0.874 0.906  0.00
S 0.750 0.328 0.103  -0.01
S 0.250 0.541 0.348  -0.02
S 0.750 0.459 0.652  -0.02
S 0.750 0.969 0.649  -0.01
S 0.250 0.672 0.897  -0.01
S 0.250 0.031 0.351  -0.01

---

Stability check: which of them is least stable? version one.

---

Version one
Material: Ce2GeS
Method: DFT, GGA-PBE
State: relaxed

* DOS at the Fermi energy: 7.97 states/eV per cell
* size of the total moment: 1.1 μB per formula unit

a = 4.153 Å, b = 4.153 Å, c = 7.124 Å
α = 73.05°, β = 73.05°, γ = 60.00°
Each line ends with the local moment (μB).
Fractional positions:
Ce 0.247 0.247 0.259  0.49
Ce 0.753 0.753 0.741  0.49
Ge 0.000 0.000 0.000  -0.03
S 0.500 0.500 0.500  -0.02

---

Version two
Material: Ce2GeS
Method: DFT, GGA-PBE
State: relaxed

* DOS at the Fermi energy: 8.60 states/eV per cell
* size of the total moment: 1.8 μB per formula unit

a = 4.069 Å, b = 4.069 Å, c = 7.598 Å
α = 74.47°, β = 74.47°, γ = 60.00°
Each line ends with the local moment (μB).
Fractional positions:
Ge 0.668 0.668 0.995  -0.04
Ce 0.252 0.252 0.244  0.79
Ce 0.082 0.082 0.754  0.69
S 0.498 0.498 0.506  -0.03

---

Stability check: which of them is least stable? version two.

---

Version one
Material: Ce2GeSb
Method: DFT, GGA-PBE
State: relaxed

* DOS at the Fermi energy: 9.08 states/eV per cell
* size of the total moment: 1.0 μB per formula unit

a = 4.282 Å, b = 4.282 Å, c = 7.943 Å
α = 74.36°, β = 74.36°, γ = 60.00°
Each line ends with the local moment (μB).
Fractional positions:
Ce 0.087 0.087 0.738  0.40
Ce 0.246 0.246 0.262  0.59
Sb 0.668 0.668 0.996  -0.03
Ge 0.498 0.498 0.505  -0.05

---

Version two
Material: Ce2GeSb
Method: DFT, GGA-PBE
State: relaxed

* DOS at the Fermi energy: 24.53 states/eV per cell
* size of the total moment: 1.6 μB per formula unit

a = 4.325 Å, b = 4.463 Å, c = 12.078 Å
α = 100.65°, β = 90.00°, γ = 90.00°
Each line ends with the local moment (μB).
Fractional positions:
Ce 0.750 0.677 0.354  0.69
Ce 0.250 0.059 0.118  0.71
Ce 0.250 0.323 0.646  0.69
Ce 0.750 0.941 0.882  0.71
Ge 0.250 0.457 0.913  -0.01
Ge 0.750 0.543 0.087  -0.01
Sb 0.750 0.810 0.621  -0.03
Sb 0.250 0.190 0.379  -0.03

---

Version three
Material: Ce2GeSb
Method: DFT, GGA-PBE
State: relaxed

* DOS at the Fermi energy: 9.59 states/eV per cell
* size of the total moment: 1.5 μB per formula unit

a = 3.219 Å, b = 5.642 Å, c = 5.642 Å
α = 90.00°, β = 90.00°, γ = 90.00°
Each line ends with the local moment (μB).
Fractional positions:
Ge 0.500 0.000 0.000  -0.04
Ce 0.000 0.500 0.000  0.63
Ce 0.000 0.000 0.500  0.63
Sb 0.500 0.500 0.500  -0.03

---

Stability check: which of them is least stable? version one.

---

Version one
Material: Ce2GeSb
Method: DFT, GGA-PBE
State: relaxed

* DOS at the Fermi energy: 10.53 states/eV per cell
* size of the total moment: 1.2 μB per formula unit

a = 4.270 Å, b = 4.511 Å, c = 6.120 Å
α = 90.00°, β = 110.42°, γ = 90.00°
Each line ends with the local moment (μB).
Fractional positions:
Ce 0.950 0.000 0.439  0.57
Ce 0.207 0.500 0.954  0.53
Sb 0.482 0.500 0.504  -0.02
Ge 0.691 0.000 0.921  -0.03

---

Version two
Material: Ce2GeSb
Method: DFT, GGA-PBE
State: relaxed

* DOS at the Fermi energy: 7.50 states/eV per cell
* size of the total moment: 0.9 μB per formula unit

a = 4.351 Å, b = 4.351 Å, c = 7.587 Å
α = 73.34°, β = 73.34°, γ = 60.00°
Each line ends with the local moment (μB).
Fractional positions:
Ce 0.256 0.256 0.232  0.46
Ce 0.744 0.744 0.768  0.46
Ge 0.000 0.000 0.000  -0.03
Sb 0.500 0.500 0.500  -0.02

---

Stability check: which of them is least stable? version one.

---

Version one
Material: CeGeSb2
Method: DFT, GGA-PBE
State: relaxed

* DOS at the Fermi energy: 4.56 states/eV per cell
* size of the total moment: 0.5 μB per formula unit

a = 4.085 Å, b = 4.085 Å, c = 6.144 Å
α = 90.00°, β = 90.00°, γ = 90.00°
Each line ends with the local moment (μB).
Fractional positions:
Ge 0.500 0.500 0.000  0.00
Sb 0.000 0.000 0.758  -0.01
Sb 0.000 0.000 0.242  -0.01
Ce 0.500 0.500 0.500  0.49

---

Version two
Material: CeGeSb2
Method: DFT, GGA-PBE
State: relaxed

* DOS at the Fermi energy: 7.16 states/eV per cell
* size of the total moment: 1.2 μB per formula unit

a = 3.690 Å, b = 3.690 Å, c = 10.203 Å
α = 79.58°, β = 79.58°, γ = 60.00°
Each line ends with the local moment (μB).
Fractional positions:
Ge 0.500 0.500 0.500  0.00
Sb 0.105 0.105 0.686  -0.01
Sb 0.895 0.895 0.314  -0.01
Ce 0.000 0.000 0.000  0.98

---

Version three
Material: CeGeSb2
Method: DFT, GGA-PBE
State: relaxed

* DOS at the Fermi energy: 2.61 states/eV per cell
* size of the total moment: 0.0 μB per formula unit

a = 4.615 Å, b = 4.612 Å, c = 4.612 Å
α = 90.00°, β = 90.00°, γ = 90.00°
Fractional positions:
Ce 0.500 0.500 0.500
Ge 0.500 0.000 0.000
Sb 0.000 0.000 0.500
Sb 0.000 0.500 0.000

---

Stability check: which of them is least stable? version two.

---

Version one
Material: CeSc2Ge
Method: DFT, GGA-PBE
State: relaxed

* DOS at the Fermi energy: 6.16 states/eV per cell
* size of the total moment: 0.0 μB per formula unit

a = 4.265 Å, b = 4.524 Å, c = 4.524 Å
α = 90.00°, β = 90.00°, γ = 90.00°
Fractional positions:
Ce 0.500 0.500 0.500
Ge 0.500 0.000 0.000
Sc 0.000 0.000 0.500
Sc 0.000 0.500 0.000

---

Version two
Material: CeSc2Ge
Method: DFT, GGA-PBE
State: relaxed

* DOS at the Fermi energy: 5.26 states/eV per cell
* size of the total moment: 0.0 μB per formula unit

a = 3.274 Å, b = 3.274 Å, c = 10.015 Å
α = 80.59°, β = 80.59°, γ = 60.00°
Fractional positions:
Ge 0.000 0.000 0.000
Ce 0.500 0.500 0.500
Sc 0.259 0.259 0.223
Sc 0.741 0.741 0.777

---

Stability check: which of them is least stable? version two.

---

Version one
Material: Ce2GeSe5
Method: DFT, GGA-PBE
State: relaxed

* DOS at the Fermi energy: 18.22 states/eV per cell
* size of the total moment: 1.0 μB per formula unit

a = 4.173 Å, b = 7.850 Å, c = 11.537 Å
α = 90.00°, β = 90.00°, γ = 90.00°
Each line ends with the local moment (μB).
Fractional positions:
Se 0.500 0.690 0.427  -0.02
Se 0.500 0.190 0.073  -0.02
Se 0.500 0.310 0.573  -0.02
Se 0.000 0.848 0.204  -0.03
Se 0.000 0.000 0.500  -0.05
Se 0.500 0.810 0.927  -0.02
Se 0.000 0.152 0.796  -0.03
Se 0.000 0.348 0.296  -0.03
Se 0.000 0.652 0.704  -0.03
Se 0.000 0.500 0.000  -0.05
Ce 0.500 0.931 0.673  0.54
Ce 0.500 0.431 0.827  0.54
Ce 0.500 0.069 0.327  0.54
Ce 0.500 0.569 0.173  0.54
Ge 0.000 0.000 0.000  0.00
Ge 0.000 0.500 0.500  0.00

---

Version two
Material: Ce2GeSe5
Method: DFT, GGA-PBE
State: relaxed

* DOS at the Fermi energy: 2.27 states/eV per cell
* size of the total moment: 0.3 μB per formula unit

a = 5.648 Å, b = 7.345 Å, c = 13.604 Å
α = 90.00°, β = 90.00°, γ = 112.61°
Each line ends with the local moment (μB).
Fractional positions:
Ce 0.854 0.707 0.065  0.21
Ce 0.854 0.707 0.435  0.21
Ce 0.146 0.293 0.935  0.21
Ce 0.146 0.293 0.565  0.21
Se 0.317 0.634 0.433  -0.02
Se 0.317 0.634 0.067  -0.02
Se 0.744 0.489 0.250  -0.01
Se 0.683 0.366 0.933  -0.02
Se 0.052 0.104 0.119  -0.02
Se 0.948 0.896 0.881  -0.02
Se 0.052 0.104 0.381  -0.02
Se 0.948 0.896 0.619  -0.02
Se 0.683 0.366 0.567  -0.02
Se 0.256 0.511 0.750  -0.01
Ge 0.803 0.606 0.750  -0.01
Ge 0.197 0.394 0.250  -0.01

---

Stability check: which of them is least stable? version two.

---

Version one
Material: CeGeSe3
Method: DFT, GGA-PBE
State: relaxed

* DOS at the Fermi energy: 11.12 states/eV per cell
* size of the total moment: 0.2 μB per formula unit

a = 4.006 Å, b = 8.270 Å, c = 14.789 Å
α = 90.00°, β = 90.00°, γ = 90.00°
Each line ends with the local moment (μB).
Fractional positions:
Se 0.750 0.153 0.054  -0.03
Se 0.250 0.498 0.120  -0.01
Se 0.250 0.847 0.946  -0.03
Se 0.250 0.998 0.380  -0.01
Se 0.750 0.844 0.208  -0.01
Se 0.250 0.156 0.792  -0.01
Se 0.750 0.653 0.446  -0.03
Se 0.750 0.344 0.292  -0.01
Se 0.750 0.002 0.620  -0.01
Se 0.750 0.502 0.880  -0.01
Se 0.250 0.347 0.554  -0.03
Se 0.250 0.656 0.708  -0.01
Ce 0.250 0.137 0.194  0.23
Ce 0.750 0.363 0.694  0.23
Ce 0.250 0.637 0.306  0.23
Ce 0.750 0.863 0.806  0.23
Ge 0.250 0.824 0.553  -0.01
Ge 0.750 0.676 0.053  -0.01
Ge 0.750 0.176 0.447  -0.01
Ge 0.250 0.324 0.947  -0.01

---

Version two
Material: CeGeSe3
Method: DFT, GGA-PBE
State: relaxed

* DOS at the Fermi energy: 10.84 states/eV per cell
* size of the total moment: 0.6 μB per formula unit

a = 7.817 Å, b = 7.817 Å, c = 7.817 Å
α = 104.83°, β = 89.43°, γ = 138.94°
Each line ends with the local moment (μB).
Fractional positions:
Ge 0.981 0.457 0.024  0.00
Ge 0.433 0.957 0.976  0.00
Se 0.056 0.321 0.235  -0.02
Se 0.541 0.743 0.703  -0.03
Se 0.040 0.243 0.702  -0.03
Se 0.040 0.837 0.297  -0.03
Se 0.541 0.337 0.298  -0.03
Se 0.086 0.821 0.765  -0.02
Ce 0.648 0.800 0.348  0.67
Ce 0.453 0.300 0.652  0.67

---

Stability check: which of them is least stable? version two.